Entry 1:
! HgOs2SF | Alexandria via LeMat-Bulk | GGA-PBE | optimized geometry; values from VASP
! Raw total energy   -4.11 eV/atom
! Volume   18.123 A^3/atom
! Formation energy without anion corrections   1645 meV/atom
! DOS(E_F)   0.937 states/eV per atom
&SYSTEM
  ibrav = 0, nat = 5, ntyp = 4
/
ATOMIC_SPECIES
S 32.06 S.upf
F 19.00 F.upf
Os 190.23 Os.upf
Hg 200.59 Hg.upf
ATOMIC_POSITIONS crystal
S 0.500 0.500 0.500
F 0.000 0.000 0.000
Os 0.000 0.000 0.500
Hg 0.000 0.500 0.000
Os 0.500 0.000 0.000
CELL_PARAMETERS angstrom
-2.322 -3.407 0.545
2.868 -1.284 4.192
-2.593 2.156 2.434

Entry 2:
! TlHg2OsF8 | Alexandria via LeMat-Bulk | GGA-PBE | optimized geometry; values from VASP
! Raw total energy   -3.91 eV/atom
! Volume   17.555 A^3/atom
! Formation energy without anion corrections   -1482 meV/atom
! DOS(E_F)   0.281 states/eV per atom
&SYSTEM
  ibrav = 0, nat = 12, ntyp = 4
/
ATOMIC_SPECIES
F 19.00 F.upf
Hg 200.59 Hg.upf
Tl 204.38 Tl.upf
Os 190.23 Os.upf
ATOMIC_POSITIONS crystal
F 0.404 0.206 0.000
F 0.049 0.782 0.822
F 0.048 0.782 0.178
Hg 0.499 0.499 0.258
F 0.952 0.218 0.822
F 0.581 0.284 0.500
F 0.596 0.794 0.000
Tl 0.000 0.000 0.500
Hg 0.501 0.501 0.742
Os 0.000 0.000 0.000
F 0.951 0.218 0.178
F 0.419 0.716 0.500
CELL_PARAMETERS angstrom
4.665 -0.660 0.003
-0.724 5.808 -0.004
0.011 0.011 7.916

Entry 3:
! ZrHgOs2F | Alexandria via LeMat-Bulk | GGA-PBE | optimized geometry; values from VASP
! Raw total energy   -4.93 eV/atom
! Volume   28.247 A^3/atom
! Formation energy without anion corrections   1711 meV/atom
! DOS(E_F)   0.783 states/eV per atom
&SYSTEM
  ibrav = 0, nat = 5, ntyp = 4
/
ATOMIC_SPECIES
Zr 91.22 Zr.upf
Os 190.23 Os.upf
F 19.00 F.upf
Hg 200.59 Hg.upf
ATOMIC_POSITIONS crystal
Zr 0.000 0.000 0.000
Os 0.000 0.000 0.500
F 0.500 0.500 0.500
Os 0.500 0.000 0.000
Hg 0.000 0.500 0.000
CELL_PARAMETERS angstrom
4.947 0.000 0.000
0.000 5.771 0.000
0.000 0.000 4.947

Entry 4:
! HgPF4 | Alexandria via LeMat-Bulk | GGA-PBE | optimized geometry; values from VASP
! Raw total energy   -4.11 eV/atom
! Volume   17.541 A^3/atom
! Formation energy without anion corrections   -1915 meV/atom
! DOS(E_F)   0.075 states/eV per atom
&SYSTEM
  ibrav = 0, nat = 12, ntyp = 3
/
ATOMIC_SPECIES
F 19.00 F.upf
P 30.97 P.upf
Hg 200.59 Hg.upf
ATOMIC_POSITIONS crystal
F 0.269 0.044 0.594
F 0.731 0.956 0.406
P 0.018 0.982 0.250
Hg 0.500 0.000 0.000
F 0.782 0.731 0.248
F 0.731 0.782 0.748
F 0.956 0.731 0.906
F 0.044 0.269 0.094
F 0.269 0.218 0.252
F 0.218 0.269 0.752
Hg 0.000 0.500 0.500
P 0.982 0.018 0.750
CELL_PARAMETERS angstrom
-4.588 -1.081 2.321
0.045 -3.742 -3.689
-0.902 -9.569 3.540

Entry 5:
! Hg2PF | Alexandria via LeMat-Bulk | GGA-PBE | optimized geometry; values from VASP
! Raw total energy   -2.41 eV/atom
! Volume   24.983 A^3/atom
! Formation energy without anion corrections   -438 meV/atom
! DOS(E_F)   0.033 states/eV per atom
&SYSTEM
  ibrav = 0, nat = 8, ntyp = 3
/
ATOMIC_SPECIES
F 19.00 F.upf
P 30.97 P.upf
Hg 200.59 Hg.upf
ATOMIC_POSITIONS crystal
F 0.500 0.500 0.000
P 0.750 0.250 0.500
P 0.000 0.000 0.000
F 0.250 0.750 0.500
Hg 0.652 0.125 0.250
Hg 0.875 0.902 0.750
Hg 0.098 0.625 0.250
Hg 0.375 0.348 0.750
CELL_PARAMETERS angstrom
5.532 0.000 0.000
0.000 5.532 0.000
2.766 2.766 6.531

Entry 6:
! HgPF3 | Alexandria via LeMat-Bulk | GGA-PBE | optimized geometry; values from VASP
! Raw total energy   -3.29 eV/atom
! Volume   14.954 A^3/atom
! Formation energy without anion corrections   -1020 meV/atom
! DOS(E_F)   0.465 states/eV per atom
&SYSTEM
  ibrav = 0, nat = 5, ntyp = 3
/
ATOMIC_SPECIES
Hg 200.59 Hg.upf
F 19.00 F.upf
P 30.97 P.upf
ATOMIC_POSITIONS crystal
Hg 0.500 0.500 0.500
F 0.000 0.500 0.000
P 0.000 0.000 0.000
F 0.500 0.000 0.000
F 0.000 0.000 0.500
CELL_PARAMETERS angstrom
4.213 0.000 0.000
0.000 4.213 0.000
0.000 0.000 4.213

Entry 7:
! Hg2PF6 | Alexandria via LeMat-Bulk | GGA-PBE | optimized geometry; values from VASP
! Raw total energy   -3.95 eV/atom
! Volume   17.535 A^3/atom
! Formation energy without anion corrections   -2035 meV/atom
! DOS(E_F)   0.321 states/eV per atom
&SYSTEM
  ibrav = 0, nat = 18, ntyp = 3
/
ATOMIC_SPECIES
F 19.00 F.upf
Hg 200.59 Hg.upf
P 30.97 P.upf
ATOMIC_POSITIONS crystal
F 0.833 0.996 0.329
Hg 0.752 0.767 0.752
F 0.195 0.210 0.499
Hg 0.248 0.233 0.248
F 0.197 0.789 0.502
Hg 0.748 0.267 0.748
P 0.500 0.500 0.000
F 0.803 0.211 0.498
F 0.695 0.290 0.999
F 0.305 0.710 0.001
F 0.303 0.289 0.998
F 0.667 0.496 0.171
P 0.000 0.000 0.500
F 0.167 0.004 0.671
F 0.805 0.790 0.501
F 0.697 0.711 0.002
F 0.333 0.504 0.829
Hg 0.252 0.733 0.252
CELL_PARAMETERS angstrom
-3.711 -0.843 -4.599
-3.407 -2.863 3.274
-0.944 8.909 6.806

Entry 8:
! Hg2PF5 | Alexandria via LeMat-Bulk | GGA-PBE | optimized geometry; values from VASP
! Raw total energy   -3.81 eV/atom
! Volume   25.580 A^3/atom
! Formation energy without anion corrections   -1891 meV/atom
! DOS(E_F)   0.000 states/eV per atom
&SYSTEM
  ibrav = 0, nat = 8, ntyp = 3
/
ATOMIC_SPECIES
Hg 200.59 Hg.upf
F 19.00 F.upf
P 30.97 P.upf
ATOMIC_POSITIONS crystal
Hg 0.331 0.478 0.327
F 0.012 0.183 0.999
F 0.588 0.012 0.994
F 0.721 0.997 0.302
F 0.020 0.801 0.004
F 0.025 0.002 0.695
Hg 0.654 0.528 0.681
P 0.873 0.999 0.999
CELL_PARAMETERS angstrom
-5.052 -1.171 -1.712
-2.643 -0.934 6.544
-3.751 4.543 -0.504

Entry 9:
! HgPF | Alexandria via LeMat-Bulk | GGA-PBE | optimized geometry; values from VASP
! Raw total energy   -3.21 eV/atom
! Volume   26.742 A^3/atom
! Formation energy without anion corrections   -685 meV/atom
! DOS(E_F)   0.199 states/eV per atom
&SYSTEM
  ibrav = 0, nat = 3, ntyp = 3
/
ATOMIC_SPECIES
F 19.00 F.upf
P 30.97 P.upf
Hg 200.59 Hg.upf
ATOMIC_POSITIONS crystal
F 0.401 0.965 0.214
P 0.356 0.963 0.575
Hg 0.014 0.628 0.627
CELL_PARAMETERS angstrom
-3.359 -2.921 0.269
-0.111 -3.530 -2.728
1.905 -2.940 3.139

Entry 10:
! HgPF6 | Alexandria via LeMat-Bulk | GGA-PBE | optimized geometry; values from VASP
! Raw total energy   -4.26 eV/atom
! Volume   14.494 A^3/atom
! Formation energy without anion corrections   -2139 meV/atom
! DOS(E_F)   0.282 states/eV per atom
&SYSTEM
  ibrav = 0, nat = 8, ntyp = 3
/
ATOMIC_SPECIES
P 30.97 P.upf
F 19.00 F.upf
Hg 200.59 Hg.upf
ATOMIC_POSITIONS crystal
P 0.500 0.500 0.000
F 0.734 0.269 0.306
F 0.430 0.257 0.000
F 0.266 0.731 0.694
F 0.266 0.425 0.306
F 0.570 0.743 0.000
F 0.734 0.575 0.694
Hg 0.000 0.000 0.000
CELL_PARAMETERS angstrom
-1.419 -4.496 -1.567
5.556 -2.826 -1.072
2.826 -2.668 3.021

Entry 11:
! Hg2PF | Alexandria via LeMat-Bulk | GGA-PBE | optimized geometry; values from VASP
! Raw total energy   -2.15 eV/atom
! Volume   17.914 A^3/atom
! Formation energy without anion corrections   -176 meV/atom
! DOS(E_F)   0.212 states/eV per atom
&SYSTEM
  ibrav = 0, nat = 4, ntyp = 3
/
ATOMIC_SPECIES
Hg 200.59 Hg.upf
P 30.97 P.upf
F 19.00 F.upf
ATOMIC_POSITIONS crystal
Hg 0.750 0.750 0.750
P 0.500 0.500 0.500
Hg 0.250 0.250 0.250
F 0.000 0.000 0.000
CELL_PARAMETERS angstrom
4.291 -0.808 1.633
0.652 -0.795 4.547
1.167 -4.265 1.477

Entry 12:
! HgPF | Alexandria via LeMat-Bulk | GGA-PBE | optimized geometry; values from VASP
! Raw total energy   -3.36 eV/atom
! Volume   23.451 A^3/atom
! Formation energy without anion corrections   -829 meV/atom
&SYSTEM
  ibrav = 0, nat = 12, ntyp = 3
/
ATOMIC_SPECIES
Hg 200.59 Hg.upf
F 19.00 F.upf
P 30.97 P.upf
ATOMIC_POSITIONS crystal
Hg 0.357 0.500 0.133
Hg 0.119 0.000 0.426
F 0.321 0.000 0.281
F 0.671 0.500 0.409
P 0.861 0.500 0.742
Hg 0.119 0.500 0.926
F 0.671 0.000 0.909
P 0.861 0.000 0.242
F 0.321 0.500 0.781
Hg 0.357 0.000 0.633
P 0.684 0.000 0.771
P 0.684 0.500 0.271
CELL_PARAMETERS angstrom
7.490 0.000 -0.060
0.000 3.340 0.000
-2.384 0.000 11.266

Entry 13:
! HgP3F | Alexandria via LeMat-Bulk | GGA-PBE | optimized geometry; values from VASP
! Raw total energy   -2.83 eV/atom
! Volume   17.999 A^3/atom
! Formation energy without anion corrections   854 meV/atom
! DOS(E_F)   0.764 states/eV per atom
&SYSTEM
  ibrav = 0, nat = 5, ntyp = 3
/
ATOMIC_SPECIES
Hg 200.59 Hg.upf
F 19.00 F.upf
P 30.97 P.upf
ATOMIC_POSITIONS crystal
Hg 0.500 0.500 0.500
F 0.000 0.000 0.000
P 0.000 0.500 0.000
P 0.500 0.000 0.000
P 0.000 0.000 0.500
CELL_PARAMETERS angstrom
4.481 0.000 0.000
0.000 4.481 0.000
0.000 0.000 4.481

Entry 14:
! HgPF | Alexandria via LeMat-Bulk | GGA-PBE | optimized geometry; values from VASP
! Raw total energy   -3.31 eV/atom
! Volume   22.564 A^3/atom
! Formation energy without anion corrections   -779 meV/atom
&SYSTEM
  ibrav = 0, nat = 6, ntyp = 3
/
ATOMIC_SPECIES
P 30.97 P.upf
F 19.00 F.upf
Hg 200.59 Hg.upf
ATOMIC_POSITIONS crystal
P 0.655 0.621 0.253
F 0.655 0.273 0.313
F 0.669 0.070 0.796
Hg 0.164 0.216 0.949
Hg 0.144 0.645 0.596
P 0.160 0.655 0.080
CELL_PARAMETERS angstrom
-2.986 -0.825 1.332
1.689 -4.191 1.216
2.837 2.108 7.910

Entry 15:
! HgP3F | Alexandria via LeMat-Bulk | GGA-PBE | optimized geometry; values from VASP
! Raw total energy   -2.33 eV/atom
! Volume   25.451 A^3/atom
! Formation energy without anion corrections   1353 meV/atom
! DOS(E_F)   1.047 states/eV per atom
&SYSTEM
  ibrav = 0, nat = 5, ntyp = 3
/
ATOMIC_SPECIES
P 30.97 P.upf
Hg 200.59 Hg.upf
F 19.00 F.upf
ATOMIC_POSITIONS crystal
P 0.000 0.000 0.500
P 0.000 0.500 0.000
P 0.500 0.000 0.000
Hg 0.000 0.000 0.000
F 0.500 0.500 0.500
CELL_PARAMETERS angstrom
5.030 0.000 0.000
0.000 5.030 0.000
0.000 0.000 5.030

Entry 16:
! Hg3PF4 | Alexandria via LeMat-Bulk | GGA-PBE | optimized geometry; values from VASP
! Raw total energy   -3.16 eV/atom
! Volume   25.245 A^3/atom
! Formation energy without anion corrections   -1432 meV/atom
! DOS(E_F)   0.125 states/eV per atom
&SYSTEM
  ibrav = 0, nat = 8, ntyp = 3
/
ATOMIC_SPECIES
P 30.97 P.upf
Hg 200.59 Hg.upf
F 19.00 F.upf
ATOMIC_POSITIONS crystal
P 0.848 0.412 0.824
Hg 0.434 0.282 0.878
F 0.248 0.776 0.552
Hg 0.434 0.596 0.878
F 0.858 0.263 0.834
Hg 0.097 0.008 0.016
F 0.858 0.571 0.834
F 0.071 0.441 0.882
CELL_PARAMETERS angstrom
7.377 -0.454 -4.279
-2.631 9.321 -5.524
-2.319 -3.221 6.923

Entry 17:
! HgPF | Alexandria via LeMat-Bulk | GGA-PBE | optimized geometry; values from VASP
! Raw total energy   -3.33 eV/atom
! Volume   26.383 A^3/atom
! Formation energy without anion corrections   -804 meV/atom
! DOS(E_F)   0.159 states/eV per atom
&SYSTEM
  ibrav = 0, nat = 12, ntyp = 3
/
ATOMIC_SPECIES
P 30.97 P.upf
Hg 200.59 Hg.upf
F 19.00 F.upf
ATOMIC_POSITIONS crystal
P 0.536 0.000 0.802
Hg 0.315 0.500 0.457
F 0.682 0.000 0.976
P 0.536 0.500 0.302
F 0.682 0.500 0.476
P 0.413 0.500 0.777
P 0.413 0.000 0.277
F 0.653 0.500 0.215
Hg 0.028 0.000 0.359
F 0.653 0.000 0.715
Hg 0.315 0.000 0.957
Hg 0.028 0.500 0.859
CELL_PARAMETERS angstrom
9.157 0.000 0.131
0.000 4.053 0.000
-4.249 0.000 8.469

Entry 18:
! Hg2PF6 | Alexandria via LeMat-Bulk | GGA-PBE | optimized geometry; values from VASP
! Raw total energy   -3.92 eV/atom
! Volume   16.553 A^3/atom
! Formation energy without anion corrections   -2009 meV/atom
! DOS(E_F)   0.042 states/eV per atom
&SYSTEM
  ibrav = 0, nat = 9, ntyp = 3
/
ATOMIC_SPECIES
F 19.00 F.upf
Hg 200.59 Hg.upf
P 30.97 P.upf
ATOMIC_POSITIONS crystal
F 0.856 0.738 0.000
Hg 0.500 0.667 0.333
F 0.144 0.262 0.000
P 0.000 0.000 0.000
Hg 0.500 0.333 0.667
F 0.144 0.738 0.738
F 0.144 0.000 0.262
F 0.856 0.000 0.738
F 0.856 0.262 0.262
CELL_PARAMETERS angstrom
6.602 0.000 0.000
0.000 4.421 -2.552
0.000 0.000 5.105

Entry 19:
! HgPF | Alexandria via LeMat-Bulk | GGA-PBE | optimized geometry; values from VASP
! Raw total energy   -3.37 eV/atom
! Volume   22.264 A^3/atom
! Formation energy without anion corrections   -847 meV/atom
&SYSTEM
  ibrav = 0, nat = 6, ntyp = 3
/
ATOMIC_SPECIES
F 19.00 F.upf
P 30.97 P.upf
Hg 200.59 Hg.upf
ATOMIC_POSITIONS crystal
F 0.595 0.761 0.716
F 0.899 0.504 0.330
P 0.892 0.789 0.310
P 0.301 0.854 0.128
Hg 0.057 0.068 0.636
Hg 0.170 0.490 0.867
CELL_PARAMETERS angstrom
-2.534 -1.206 1.793
-1.182 -3.586 -4.141
5.922 -3.430 2.957

Entry 20:
! HgP3F12 | Alexandria via LeMat-Bulk | GGA-PBE | optimized geometry; values from VASP
! Raw total energy   -4.51 eV/atom
! Volume   20.576 A^3/atom
! Formation energy without anion corrections   -2070 meV/atom
&SYSTEM
  ibrav = 0, nat = 32, ntyp = 3
/
ATOMIC_SPECIES
F 19.00 F.upf
P 30.97 P.upf
Hg 200.59 Hg.upf
ATOMIC_POSITIONS crystal
F 0.154 0.682 0.076
F 0.269 0.366 0.417
F 0.340 0.181 0.896
P 0.699 0.284 0.995
F 0.879 0.055 0.612
P 0.199 0.522 0.495
P 0.022 0.699 0.995
F 0.954 0.555 0.112
F 0.588 0.182 0.576
F 0.947 0.269 0.417
Hg 0.060 0.060 0.820
F 0.682 0.088 0.076
F 0.447 0.866 0.917
F 0.182 0.654 0.576
F 0.082 0.681 0.396
F 0.366 0.947 0.417
F 0.681 0.840 0.396
P 0.284 0.022 0.995
F 0.379 0.954 0.112
F 0.582 0.340 0.896
F 0.840 0.082 0.396
F 0.454 0.879 0.612
F 0.181 0.582 0.896
P 0.522 0.784 0.495
P 0.784 0.199 0.495
F 0.555 0.379 0.112
F 0.866 0.769 0.917
F 0.088 0.154 0.076
F 0.055 0.454 0.612
Hg 0.560 0.560 0.320
F 0.654 0.588 0.576
F 0.769 0.447 0.917
CELL_PARAMETERS angstrom
7.882 0.000 3.806
3.022 7.280 3.806
-0.510 -0.340 11.120